# DyTmOsPd PBE relaxed
data_DyTmOsPd
_symmetry_space_group_name_H-M 'F -4 3 m'
_symmetry_Int_Tables_number 216
_symmetry_space_group_name_Hall 'F -4 2 3'
_cell_length_a 6.8469
_cell_length_b 6.8469
_cell_length_c 6.8469
_cell_angle_alpha 90.00
_cell_angle_beta 90.00
_cell_angle_gamma 90.00
loop_
_atom_site_label
_atom_site_type_symbol
_atom_site_fract_x
_atom_site_fract_y
_atom_site_fract_z
Dy1 Dy 0.0000 0.0000 0.0000
Tm1 Tm 0.0000 0.0000 0.5000
Os1 Os 0.2500 0.2500 0.7500
Pd1 Pd 0.2500 0.2500 0.2500
# calculated formation energy	-0.582	eV/atom



# Na2Tl2Si PBE relaxed
data_Na2Tl2Si
_symmetry_space_group_name_H-M 'P 4/m b m'
_symmetry_Int_Tables_number 127
_symmetry_space_group_name_Hall '-P 4 2ab'
_cell_length_a 7.4332
_cell_length_b 7.4332
_cell_length_c 5.0559
_cell_angle_alpha 90.00
_cell_angle_beta 90.00
_cell_angle_gamma 90.00
loop_
_atom_site_label
_atom_site_type_symbol
_atom_site_fract_x
_atom_site_fract_y
_atom_site_fract_z
Na1 Na 0.1699 0.3301 0.0000
Tl1 Tl 0.1469 0.6469 0.5000
Si1 Si 0.0000 0.0000 0.5000
# energy	-24.24	eV/cell



# Li5AcSe4 PBE relaxed
data_Li5AcSe4
_symmetry_space_group_name_H-M 'I m m m'
_symmetry_Int_Tables_number 71
_symmetry_space_group_name_Hall '-I 2 2'
_cell_length_a 4.2958
_cell_length_b 7.7068
_cell_length_c 14.4007
_cell_angle_alpha 90.00
_cell_angle_beta 90.00
_cell_angle_gamma 90.00
loop_
_atom_site_label
_atom_site_type_symbol
_atom_site_fract_x
_atom_site_fract_y
_atom_site_fract_z
Li1 Li 0.0000 0.0000 0.0000
Li2 Li 0.0000 0.2091 0.3197
Ac1 Ac 0.0000 0.5000 0.0000
Se1 Se 0.0000 0.2779 0.5000
Se2 Se 0.0000 0.5000 0.2177
# energy	-82.79	eV/cell



# Ac4Sb2SO2 PBE relaxed
data_Ac4Sb2SO2
_symmetry_space_group_name_H-M 'C 1 2/m 1'
_symmetry_Int_Tables_number 12
_symmetry_space_group_name_Hall '-C 2y'
_cell_length_a 16.1507
_cell_length_b 4.3329
_cell_length_c 7.8589
_cell_angle_alpha 90.00
_cell_angle_beta 111.02
_cell_angle_gamma 90.00
loop_
_atom_site_label
_atom_site_type_symbol
_atom_site_fract_x
_atom_site_fract_y
_atom_site_fract_z
Ac1 Ac 0.0263 0.0000 0.2499
Ac2 Ac 0.2138 0.5000 0.6728
Sb1 Sb 0.1307 0.5000 0.0418
S1 S 0.0000 0.5000 0.5000
O1 O 0.1755 0.0000 0.4908
# energy	-116.70	eV/cell



# BaMgC2 PBE relaxed
data_BaMgC2
_symmetry_space_group_name_H-M 'I 41/a m d'
_symmetry_Int_Tables_number 141
_cell_length_a 4.5955
_cell_length_b 4.5955
_cell_length_c 14.4292
_cell_angle_alpha 90.00
_cell_angle_beta 90.00
_cell_angle_gamma 90.00
loop_
_symmetry_equiv_pos_as_xyz
'x,y,z'
'-x,-y,-z'
'-y+1/4,x+3/4,z+1/4'
'y+1/4,-x+3/4,-z+1/4'
'-x+1/2,-y,z+1/2'
'x+1/2,y,-z+1/2'
'y+1/4,-x+1/4,z+3/4'
'-y+1/4,x+1/4,-z+3/4'
'x,-y,-z'
'-x,y,z'
'-y+1/4,-x+1/4,-z+3/4'
'y+1/4,x+1/4,z+3/4'
'-x+1/2,y,-z+1/2'
'x+1/2,-y,z+1/2'
'y+1/4,x+3/4,-z+1/4'
'-y+1/4,-x+3/4,z+1/4'
'x+1/2,y+1/2,z+1/2'
'-x+1/2,-y+1/2,-z+1/2'
'-y+3/4,x+1/4,z+3/4'
'y+3/4,-x+1/4,-z+3/4'
'-x,-y+1/2,z'
'x,y+1/2,-z'
'y+3/4,-x+3/4,z+1/4'
'-y+3/4,x+3/4,-z+1/4'
'x+1/2,-y+1/2,-z+1/2'
'-x+1/2,y+1/2,z+1/2'
'-y+3/4,-x+3/4,-z+1/4'
'y+3/4,x+3/4,z+1/4'
'-x,y+1/2,-z'
'x,-y+1/2,z'
'y+3/4,x+1/4,-z+3/4'
'-y+3/4,-x+1/4,z+3/4'
loop_
_atom_site_label
_atom_site_type_symbol
_atom_site_fract_x
_atom_site_fract_y
_atom_site_fract_z
Ba1 Ba 0.0000 0.2500 0.3750
Mg1 Mg 0.0000 0.2500 0.8750
C1 C 0.0000 0.0000 0.0000
# calculated formation energy	1.261	eV/atom



# Cs2LaAlO4 PBE relaxed
data_Cs2LaAlO4
_symmetry_space_group_name_H-M 'F d d d'
_symmetry_Int_Tables_number 70
_cell_length_a 5.8519
_cell_length_b 12.7707
_cell_length_c 24.7634
_cell_angle_alpha 90.00
_cell_angle_beta 90.00
_cell_angle_gamma 90.00
loop_
_symmetry_equiv_pos_as_xyz
'x,y,z'
'-x,-y,-z'
'-x+1/4,-y+1/4,z'
'x+1/4,y+1/4,-z'
'x,-y+1/4,-z+1/4'
'-x,y+1/4,z+1/4'
'-x+1/4,y,-z+1/4'
'x+1/4,-y,z+1/4'
'x,y+1/2,z+1/2'
'-x,-y+1/2,-z+1/2'
'-x+1/4,-y+3/4,z+1/2'
'x+1/4,y+3/4,-z+1/2'
'x,-y+3/4,-z+3/4'
'-x,y+3/4,z+3/4'
'-x+1/4,y+1/2,-z+3/4'
'x+1/4,-y+1/2,z+3/4'
'x+1/2,y,z+1/2'
'-x+1/2,-y,-z+1/2'
'-x+3/4,-y+1/4,z+1/2'
'x+3/4,y+1/4,-z+1/2'
'x+1/2,-y+1/4,-z+3/4'
'-x+1/2,y+1/4,z+3/4'
'-x+3/4,y,-z+3/4'
'x+3/4,-y,z+3/4'
'x+1/2,y+1/2,z'
'-x+1/2,-y+1/2,-z'
'-x+3/4,-y+3/4,z'
'x+3/4,y+3/4,-z'
'x+1/2,-y+3/4,-z+1/4'
'-x+1/2,y+3/4,z+1/4'
'-x+3/4,y+1/2,-z+1/4'
'x+3/4,-y+1/2,z+1/4'
loop_
_atom_site_label
_atom_site_type_symbol
_atom_site_fract_x
_atom_site_fract_y
_atom_site_fract_z
Cs1 Cs 0.1250 0.1250 0.3111
La1 La 0.1250 0.1250 0.1250
Al1 Al 0.1250 0.1250 0.6250
O1 O 0.0711 0.2911 0.8389
# energy	-384.12	eV/cell



# KTaO2 PBE relaxed
data_KTaO2
_symmetry_space_group_name_H-M 'F m -3 m'
_symmetry_Int_Tables_number 225
_symmetry_space_group_name_Hall '-F 4 2 3'
_cell_length_a 5.7951
_cell_length_b 5.7951
_cell_length_c 5.7951
_cell_angle_alpha 90.00
_cell_angle_beta 90.00
_cell_angle_gamma 90.00
loop_
_atom_site_label
_atom_site_type_symbol
_atom_site_fract_x
_atom_site_fract_y
_atom_site_fract_z
K1 K 0.0000 0.0000 0.0000
Ta1 Ta 0.0000 0.0000 0.5000
O1 O 0.2500 0.2500 0.2500
# energy	-100.82	eV/cell



# Li2Ce3Al9 PBE relaxed
data_Li2Ce3Al9
_symmetry_space_group_name_H-M 'I m m m'
_symmetry_Int_Tables_number 71
_symmetry_space_group_name_Hall '-I 2 2'
_cell_length_a 4.4637
_cell_length_b 9.6738
_cell_length_c 13.0337
_cell_angle_alpha 90.00
_cell_angle_beta 90.00
_cell_angle_gamma 90.00
loop_
_atom_site_label
_atom_site_type_symbol
_atom_site_fract_x
_atom_site_fract_y
_atom_site_fract_z
Li1 Li 0.0000 0.1916 0.0000
Ce1 Ce 0.0000 0.0000 0.1971
Ce2 Ce 0.0000 0.0000 0.5000
Al1 Al 0.0000 0.2793 0.3640
Al2 Al 0.0000 0.3642 0.1587
Al3 Al 0.0000 0.5000 0.5000
# calculated formation energy	-0.322	eV/atom